## TaMo3W2 (PBE-GGA)

Data for a relaxed TaMo3W2 crystal.

Lattice parameters (Å, degrees): 3.1888 3.1888 9.6123 90.00 90.00 90.00
Last column: nearest neighbours and their distance in Å.
Space group P4/mmm (No. 123)
One atom of each set of equivalent atoms:
Ta  0.0000  0.0000  0.0000 x1  8 Mo 2.79
Mo  0.5000  0.5000  0.1715 x2  4 W 2.75, 4 Ta 2.79
Mo  0.5000  0.5000  0.5000 x1  8 W 2.76
W  0.0000  0.0000  0.3343 x2  8 Mo 2.75-2.76

Computed properties:
Distance to the lowest polymorph of the same formula   0.00 eV per formula unit
Energy   -11.81 eV/atom
ΔH_f (0 K)   -105.8 meV per atom
Fermi-level density of states   3.1 states/eV/cell